First-principles (PBE) data for a geometry-optimized BaCa2Zr structure, as listed in Alexandria.

a = 3.7028 Å, b = 3.7028 Å, c = 37.4580 Å
α = 90.00°, β = 90.00°, γ = 120.00°
Space group R-3m (No. 166, hexagonal axes)
Inequivalent atoms, fractional coordinates:
1 Ba 0.0000 0.0000 0.0000 x3
2 Ca 0.0000 0.0000 0.2390 x6
3 Zr 0.0000 0.0000 0.5000 x3

Results
Energy relative to the elements ... 367 meV per atom
Energy above the lowest structure with this stoichiometry ... 0.041 eV/atom
D(E_F) ... 22.38 states/eV/cell

=====

First-principles (PBE) data for a geometry-optimized MgFeRuCl2 structure, as listed in Alexandria.

a = 4.6740 Å, b = 4.6740 Å, c = 5.2948 Å
α = 90.00°, β = 90.00°, γ = 90.00°
Space group P4/mmm (No. 123)
Inequivalent atoms, fractional coordinates:
1 Mg 0.0000 0.0000 0.0000 x1
2 Fe 0.5000 0.5000 0.0000 x1
3 Ru 0.0000 0.0000 0.5000 x1
4 Cl 0.0000 0.5000 0.5000 x2

Results
Formation energy without anion corrections ... 0.68 eV per atom
D(E_F) ... 4.47 states/eV/cell

=====

First-principles (PBE) data for a geometry-optimized Y2ZrCo structure, as listed in Alexandria.

a = 3.4654 Å, b = 3.4654 Å, c = 27.6535 Å
α = 90.00°, β = 90.00°, γ = 120.00°
Space group R-3m (No. 166, hexagonal axes)
Inequivalent atoms, fractional coordinates:
1 Y 0.0000 0.0000 0.2320 x6
2 Zr 0.0000 0.0000 0.0000 x3
3 Co 0.0000 0.0000 0.5000 x3

Results
Energy relative to the elements ... 173 meV per atom
Energy above the lowest structure with this stoichiometry ... 0.293 eV/atom
D(E_F) ... 19.33 states/eV/cell

=====

First-principles (PBE) data for a geometry-optimized RbZnSn3 structure, as listed in Alexandria.

a = 6.2424 Å, b = 6.2424 Å, c = 6.2424 Å
α = 90.00°, β = 90.00°, γ = 90.00°
Space group Pm-3m (No. 221)
Inequivalent atoms, fractional coordinates:
1 Rb 0.0000 0.0000 0.0000 x1
2 Zn 0.5000 0.5000 0.5000 x1
3 Sn 0.0000 0.0000 0.5000 x3

Results
Energy relative to the elements ... 1372 meV per atom
Energy above the lowest structure with this stoichiometry ... 1.508 eV/atom
D(E_F) ... 5.71 states/eV/cell